No. 1
VASP calculation (PBE) on AcHPdPb after structural relaxation.

Results
The total energy comes out at -4.6524 eV per atom.

a = 5.0165 Å, b = 5.0164 Å, c = 3.8488 Å
α = 90.00°, β = 90.00°, γ = 120.00°
Last column: nearest neighbours and their distance in Å.
Positions (direct):
Ac 0.5719 0.1438 0.3097  3 H 2.90
H 0.2385 0.4771 0.3098  2 Pd 1.92
Pd 0.2386 0.4772 0.8099  2 H 1.92
Pb 0.9053 0.8105 0.8097  3 Pd 2.90


No. 2
VASP calculation (PBE) on AcH6Pd2Pb after structural relaxation.

Results
The total energy comes out at -4.1004 eV per atom.

a = 7.5041 Å, b = 7.5041 Å, c = 4.7406 Å
α = 85.42°, β = 85.42°, γ = 109.15°
Last column: nearest neighbours and their distance in Å.
Positions (direct):
Ac 0.1702 0.8298 0.2500  10 H 2.54-2.74
Ac 0.8298 0.1702 0.7500  10 H 2.54-2.74
H 0.9429 0.3213 0.2051  1 Pd 1.69
H 0.6787 0.0571 0.2949  1 Pd 1.69
H 0.0571 0.6787 0.7949  1 Pd 1.69
H 0.3213 0.9429 0.7051  1 Pd 1.69
H 0.1411 0.1527 0.0017  2 Pd 1.73-1.83
H 0.8473 0.8589 0.4983  2 Pd 1.73-1.83
H 0.8589 0.8473 0.9983  2 Pd 1.73-1.83
H 0.1527 0.1411 0.5017  2 Pd 1.73-1.83
H 0.1742 0.5034 0.4302  1 Pd 1.68
H 0.4966 0.8258 0.0698  1 Pd 1.68
H 0.8258 0.4966 0.5698  1 Pd 1.68
H 0.5034 0.1742 0.9302  1 Pd 1.68
Pd 0.3311 0.1700 0.7225  4 H 1.68-1.83
Pd 0.8300 0.6689 0.7775  4 H 1.68-1.83
Pd 0.6689 0.8300 0.2775  4 H 1.68-1.83
Pd 0.1700 0.3311 0.2225  4 H 1.68-1.83
Pb 0.5972 0.4028 0.2500  2 H 2.35
Pb 0.4028 0.5972 0.7500  2 H 2.35


No. 3
VASP calculation (PBE) on Ac2Pr4H2Pb3 after structural relaxation.

Results
The total energy comes out at -4.5711 eV per atom.

a = 4.9783 Å, b = 4.9783 Å, c = 13.9069 Å
α = 100.31°, β = 100.31°, γ = 90.00°
Last column: nearest neighbours and their distance in Å.
Positions (direct):
Ac 0.3010 0.3010 0.6019  1 H 2.70
Ac 0.6990 0.6990 0.3981  1 H 2.70
Pr 0.4195 0.9195 0.8390  2 H 2.54
Pr 0.9195 0.4195 0.8390  2 H 2.54
Pr 0.0805 0.5805 0.1610  2 H 2.54
Pr 0.5805 0.0805 0.1610  2 H 2.54
H 0.4015 0.4015 0.8030  4 Pr 2.54, 1 Ac 2.70
H 0.5985 0.5985 0.1970  4 Pr 2.54, 1 Ac 2.70
Pb 0.0000 0.0000 0.0000  8 Pr 3.30
Pb 0.1703 0.1703 0.3406  4 Pr 3.47, 5 Ac 3.52-3.60
Pb 0.8297 0.8297 0.6594  4 Pr 3.47, 5 Ac 3.52-3.60


No. 4
VASP calculation (PBE) on AcH6Pt2Pb after structural relaxation.

Results
The total energy comes out at -4.2893 eV per atom.

a = 6.6576 Å, b = 6.6576 Å, c = 7.0905 Å
α = 109.84°, β = 109.84°, γ = 86.40°
Last column: nearest neighbours and their distance in Å.
Positions (direct):
Ac 0.1489 0.8511 0.2500  8 H 2.56-2.78
Ac 0.8511 0.1489 0.7500  8 H 2.56-2.78
H 0.9135 0.2836 0.1838  1 Pt 1.67
H 0.7164 0.0865 0.3162  1 Pt 1.67
H 0.0865 0.7164 0.8162  1 Pt 1.67
H 0.2836 0.9135 0.6838  1 Pt 1.67
H 0.2018 0.1028 0.0455  1 Pt 1.66
H 0.8972 0.7982 0.4545  1 Pt 1.66
H 0.7982 0.8972 0.9545  1 Pt 1.66
H 0.1028 0.2018 0.5455  1 Pt 1.66
H 0.1490 0.5573 0.4072  1 Pt 1.66
H 0.4427 0.8510 0.0928  1 Pt 1.66
H 0.8510 0.4427 0.5928  1 Pt 1.66
H 0.5573 0.1490 0.9072  1 Pt 1.66
Pt 0.3298 0.1709 0.7244  3 H 1.66-1.67
Pt 0.8291 0.6702 0.7756  3 H 1.66-1.67
Pt 0.6702 0.8291 0.2756  3 H 1.66-1.67
Pt 0.1709 0.3298 0.2244  3 H 1.66-1.67
Pb 0.5897 0.4103 0.2500  4 H 2.40-2.41
Pb 0.4103 0.5897 0.7500  4 H 2.40-2.41


No. 5
VASP calculation (PBE) on AcHPtPb after structural relaxation.

Results
The total energy comes out at -4.6842 eV per atom.

a = 5.0182 Å, b = 5.0182 Å, c = 5.0182 Å
α = 60.00°, β = 60.00°, γ = 60.00°
Last column: nearest neighbours and their distance in Å.
Positions (direct):
Pb 0.0000 0.0000 0.0000  4 H 3.07, 4 Pt 3.07
H 0.7500 0.7500 0.7500  4 Pb 3.07, 4 Ac 3.07
Ac 0.5000 0.5000 0.5000  4 H 3.07, 4 Pt 3.07
Pt 0.2500 0.2500 0.2500  4 Ac 3.07, 4 Pb 3.07


No. 6
VASP calculation (PBE) on AcH6Rh2Pb after structural relaxation.

Results
The total energy comes out at -4.5688 eV per atom.

a = 7.2474 Å, b = 7.2474 Å, c = 5.0472 Å
α = 89.96°, β = 89.96°, γ = 114.81°
Last column: nearest neighbours and their distance in Å.
Positions (direct):
Ac 0.1822 0.8178 0.2500  12 H 2.57-2.75
Ac 0.8178 0.1822 0.7500  12 H 2.57-2.75
H 0.0932 0.4460 0.0398  1 Rh 1.63
H 0.5540 0.9068 0.4602  1 Rh 1.63
H 0.9068 0.5540 0.9602  1 Rh 1.63
H 0.4460 0.0932 0.5398  1 Rh 1.63
H 0.1278 0.1285 0.9997  2 Rh 1.76
H 0.8715 0.8722 0.5003  2 Rh 1.76
H 0.8722 0.8715 0.0003  2 Rh 1.76
H 0.1285 0.1278 0.4997  2 Rh 1.76
H 0.0948 0.4464 0.4614  1 Rh 1.63
H 0.5536 0.9052 0.0386  1 Rh 1.63
H 0.9052 0.5536 0.5386  1 Rh 1.63
H 0.4464 0.0948 0.9614  1 Rh 1.63
Rh 0.3027 0.1429 0.7500  4 H 1.63-1.76
Rh 0.8571 0.6973 0.7500  4 H 1.63-1.76
Rh 0.6973 0.8571 0.2500  4 H 1.63-1.76
Rh 0.1429 0.3027 0.2500  4 H 1.63-1.76
Pb 0.5852 0.4148 0.2500  4 H 2.56-2.57
Pb 0.4148 0.5852 0.7500  4 H 2.56-2.57


No. 7
VASP calculation (PBE) on Ac2H12Rh3Pb after structural relaxation.

Results
The total energy comes out at -4.3313 eV per atom.

a = 6.5693 Å, b = 6.5693 Å, c = 6.5693 Å
α = 58.80°, β = 58.80°, γ = 58.80°
Last column: nearest neighbours and their distance in Å.
Positions (direct):
Ac 0.6103 0.6103 0.6103  6 H 2.48-2.66
Ac 0.3897 0.3897 0.3897  6 H 2.48-2.66
H 0.3019 0.3019 0.8670  2 Rh 1.76
H 0.8683 0.8683 0.4546  1 Rh 1.70
H 0.4546 0.8683 0.8683  1 Rh 1.70
H 0.8670 0.3019 0.3019  2 Rh 1.76
H 0.8683 0.4546 0.8683  1 Rh 1.70
H 0.3019 0.8670 0.3019  2 Rh 1.76
H 0.6981 0.6981 0.1330  2 Rh 1.76
H 0.1317 0.1317 0.5454  1 Rh 1.70
H 0.5454 0.1317 0.1317  1 Rh 1.70
H 0.1330 0.6981 0.6981  2 Rh 1.76
H 0.1317 0.5454 0.1317  1 Rh 1.70
H 0.6981 0.1330 0.6981  2 Rh 1.76
Rh 0.5000 0.0000 0.0000  6 H 1.70-1.76
Rh 0.0000 0.5000 0.0000  6 H 1.70-1.76
Rh 0.0000 0.0000 0.5000  6 H 1.70-1.76
Pb 0.0000 0.0000 0.0000  6 H 2.42


No. 8
VASP calculation (PBE) on Ac4HRh2Pb after structural relaxation.

Results
The total energy comes out at -5.3792 eV per atom.

a = 4.4076 Å, b = 7.5618 Å, c = 15.1147 Å
α = 90.00°, β = 90.00°, γ = 106.94°
Last column: nearest neighbours and their distance in Å.
Positions (direct):
Ac 0.2677 0.5355 0.1110  1 H 2.57
Ac 0.7323 0.4645 0.6110  1 H 2.57
Ac 0.7323 0.4645 0.8890  1 H 2.57
Ac 0.2677 0.5355 0.3890  1 H 2.57
Ac 0.0000 0.0000 0.5000  4 Rh 3.03
Ac 0.0000 0.0000 0.0000  4 Rh 3.03
Ac 0.4204 0.8407 0.7500  2 H 2.53
Ac 0.5796 0.1593 0.2500  2 H 2.53
H 0.8343 0.6687 0.7500  4 Ac 2.53-2.57
H 0.1657 0.3313 0.2500  4 Ac 2.53-2.57
Rh 0.3714 0.7428 0.5611  6 Ac 2.94-3.08
Rh 0.6286 0.2572 0.0611  6 Ac 2.94-3.08
Rh 0.6286 0.2572 0.4389  6 Ac 2.94-3.08
Rh 0.3714 0.7428 0.9389  6 Ac 2.94-3.08
Pb 0.1089 0.2178 0.7500  6 Ac 3.51-3.53
Pb 0.8911 0.7822 0.2500  6 Ac 3.51-3.53